Ta4Au2CN, optimized geometry, DFT GGA-PBE; E_tot = -9.44 eV/atom; total moment = 0.0 μB per formula unit
1.0
3.160 0.000 0.000
-1.580 2.736 0.000
0.000 0.000 13.746
Ta Au C N
4 2 1 1
Direct
0.333 0.667 0.087 Ta
0.333 0.667 0.416 Ta
0.667 0.333 0.584 Ta
0.667 0.333 0.913 Ta
0.333 0.667 0.747 Au
0.667 0.333 0.253 Au
0.000 0.000 0.000 C
0.000 0.000 0.500 N

Ta8Au2C3N3, optimized geometry, DFT GGA-PBE; E_tot = -10.23 eV/atom; total moment = 0.0 μB per formula unit
1.0
3.161 0.000 0.000
-1.580 2.737 0.000
0.000 0.000 23.933
Ta Au C N
8 2 3 3
Direct
0.000 0.000 0.153 Ta
0.000 0.000 0.341 Ta
0.000 0.000 0.659 Ta
0.000 0.000 0.847 Ta
0.333 0.667 0.556 Ta
0.333 0.667 0.943 Ta
0.667 0.333 0.057 Ta
0.667 0.333 0.444 Ta
0.333 0.667 0.754 Au
0.667 0.333 0.246 Au
0.000 0.000 0.500 C
0.333 0.667 0.391 C
0.667 0.333 0.609 C
0.000 0.000 0.000 N
0.333 0.667 0.107 N
0.667 0.333 0.893 N

W8Au2C3N3, optimized geometry, DFT GGA-PBE; E_tot = -9.90 eV/atom; total moment = 0.0 μB per formula unit
1.0
3.109 0.000 0.000
-1.555 2.693 0.000
0.000 0.000 23.566
W Au C N
8 2 3 3
Direct
0.000 0.000 0.153 W
0.000 0.000 0.347 W
0.000 0.000 0.653 W
0.000 0.000 0.847 W
0.333 0.667 0.057 W
0.333 0.667 0.449 W
0.667 0.333 0.551 W
0.667 0.333 0.943 W
0.333 0.667 0.251 Au
0.667 0.333 0.749 Au
0.000 0.000 0.000 C
0.333 0.667 0.890 C
0.667 0.333 0.110 C
0.000 0.000 0.500 N
0.333 0.667 0.604 N
0.667 0.333 0.396 N

Y4Au2CN, optimized geometry, DFT GGA-PBE; E_tot = -7.04 eV/atom; total moment = 0.0 μB per formula unit
1.0
3.621 0.000 0.000
-1.811 3.136 0.000
0.000 0.000 14.216
Y Au C N
4 2 1 1
Direct
0.333 0.667 0.096 Y
0.333 0.667 0.406 Y
0.667 0.333 0.594 Y
0.667 0.333 0.904 Y
0.333 0.667 0.746 Au
0.667 0.333 0.254 Au
0.000 0.000 0.000 C
0.000 0.000 0.500 N

Y3AuCN, optimized geometry, DFT GGA-PBE; E_tot = -7.55 eV/atom; total moment = 0.0 μB per formula unit
1.0
3.588 0.000 0.000
-1.794 3.107 0.000
0.000 0.000 19.985
Y Au C N
6 2 2 2
Direct
0.000 0.000 0.000 Y
0.000 0.000 0.500 Y
0.333 0.667 0.135 Y
0.333 0.667 0.361 Y
0.667 0.333 0.639 Y
0.667 0.333 0.865 Y
0.000 0.000 0.244 Au
0.000 0.000 0.756 Au
0.333 0.667 0.579 C
0.667 0.333 0.421 C
0.333 0.667 0.927 N
0.667 0.333 0.073 N

Y8Au2C3N3, optimized geometry, DFT GGA-PBE; E_tot = -7.78 eV/atom; total moment = 0.0 μB per formula unit
1.0
3.559 0.000 0.000
-1.780 3.082 0.000
0.000 0.000 25.932
Y Au C N
8 2 3 3
Direct
0.000 0.000 0.158 Y
0.000 0.000 0.334 Y
0.000 0.000 0.666 Y
0.000 0.000 0.842 Y
0.333 0.667 0.556 Y
0.333 0.667 0.948 Y
0.667 0.333 0.052 Y
0.667 0.333 0.444 Y
0.333 0.667 0.757 Au
0.667 0.333 0.243 Au
0.000 0.000 0.500 C
0.333 0.667 0.380 C
0.667 0.333 0.620 C
0.000 0.000 0.000 N
0.333 0.667 0.111 N
0.667 0.333 0.889 N

ZnAu2C4N4, optimized geometry, DFT GGA-PBE; E_tot = -6.85 eV/atom
1.0
8.399 0.000 0.000
-4.199 7.274 0.000
0.000 0.000 20.885
Zn Au C N
6 12 24 24
Direct
0.000 0.500 0.207 Zn
0.000 0.500 0.459 Zn
0.500 0.000 0.126 Zn
0.500 0.000 0.874 Zn
0.500 0.500 0.541 Zn
0.500 0.500 0.793 Zn
0.000 0.316 0.708 Au
0.000 0.316 0.959 Au
0.000 0.684 0.708 Au
0.000 0.684 0.959 Au
0.316 0.000 0.374 Au
0.316 0.000 0.626 Au
0.316 0.316 0.041 Au
0.316 0.316 0.292 Au
0.684 0.000 0.374 Au
0.684 0.000 0.626 Au
0.684 0.684 0.041 Au
0.684 0.684 0.292 Au
0.180 0.396 0.888 C
0.180 0.784 0.778 C
0.184 0.400 0.638 C
0.184 0.784 0.029 C
0.216 0.396 0.112 C
0.216 0.400 0.362 C
0.216 0.816 0.305 C
0.216 0.820 0.555 C
0.396 0.180 0.445 C
0.396 0.216 0.222 C
0.400 0.184 0.695 C
0.400 0.216 0.971 C
0.600 0.784 0.971 C
0.600 0.816 0.695 C
0.604 0.784 0.222 C
0.604 0.820 0.445 C
0.784 0.180 0.555 C
0.784 0.184 0.305 C
0.784 0.600 0.362 C
0.784 0.604 0.112 C
0.816 0.216 0.029 C
0.816 0.600 0.638 C
0.820 0.216 0.778 C
0.820 0.604 0.888 C
0.148 0.438 0.152 N
0.148 0.710 0.515 N
0.151 0.444 0.403 N
0.151 0.707 0.264 N
0.290 0.438 0.848 N
0.290 0.852 0.819 N
0.293 0.444 0.597 N
0.293 0.849 0.070 N
0.438 0.148 0.181 N
0.438 0.290 0.485 N
0.444 0.151 0.930 N
0.444 0.293 0.736 N
0.556 0.707 0.736 N
0.556 0.849 0.930 N
0.562 0.710 0.485 N
0.562 0.852 0.181 N
0.707 0.151 0.070 N
0.707 0.556 0.597 N
0.710 0.148 0.819 N
0.710 0.562 0.848 N
0.849 0.293 0.264 N
0.849 0.556 0.403 N
0.852 0.290 0.515 N
0.852 0.562 0.152 N

ZnAu2C4N4, optimized geometry, DFT GGA-PBE; E_tot = -6.85 eV/atom
1.0
8.373 0.000 0.000
-4.187 7.251 0.000
0.000 0.000 20.975
Zn Au C N
6 12 24 24
Direct
0.000 0.500 0.041 Zn
0.000 0.500 0.292 Zn
0.500 0.000 0.375 Zn
0.500 0.000 0.625 Zn
0.500 0.500 0.708 Zn
0.500 0.500 0.959 Zn
0.002 0.317 0.540 Au
0.002 0.686 0.793 Au
0.314 0.317 0.460 Au
0.314 0.998 0.874 Au
0.317 0.002 0.126 Au
0.317 0.314 0.207 Au
0.683 0.686 0.207 Au
0.683 0.998 0.126 Au
0.686 0.002 0.874 Au
0.686 0.683 0.460 Au
0.998 0.314 0.793 Au
0.998 0.683 0.540 Au
0.181 0.394 0.611 C
0.181 0.787 0.722 C
0.183 0.402 0.862 C
0.183 0.781 0.471 C
0.213 0.394 0.389 C
0.213 0.819 0.945 C
0.219 0.402 0.138 C
0.219 0.817 0.196 C
0.394 0.181 0.055 C
0.394 0.213 0.278 C
0.402 0.183 0.804 C
0.402 0.219 0.529 C
0.598 0.781 0.529 C
0.598 0.817 0.804 C
0.606 0.787 0.278 C
0.606 0.819 0.055 C
0.781 0.183 0.196 C
0.781 0.598 0.138 C
0.787 0.181 0.945 C
0.787 0.606 0.389 C
0.817 0.219 0.471 C
0.817 0.598 0.862 C
0.819 0.213 0.722 C
0.819 0.606 0.611 C
0.145 0.435 0.348 N
0.145 0.710 0.985 N
0.155 0.447 0.097 N
0.155 0.707 0.236 N
0.290 0.435 0.652 N
0.290 0.855 0.681 N
0.293 0.447 0.903 N
0.293 0.845 0.430 N
0.435 0.145 0.319 N
0.435 0.290 0.015 N
0.447 0.155 0.570 N
0.447 0.293 0.764 N
0.553 0.707 0.764 N
0.553 0.845 0.570 N
0.565 0.710 0.015 N
0.565 0.855 0.319 N
0.707 0.155 0.430 N
0.707 0.553 0.903 N
0.710 0.145 0.681 N
0.710 0.565 0.652 N
0.845 0.293 0.236 N
0.845 0.553 0.097 N
0.855 0.290 0.985 N
0.855 0.565 0.348 N

ZnAu2C4N4, optimized geometry, DFT GGA-PBE; E_tot = -6.85 eV/atom
1.0
8.438 0.000 0.000
-4.219 7.307 0.000
0.000 0.000 20.810
Zn Au C N
6 12 24 24
Direct
0.000 0.500 0.041 Zn
0.000 0.500 0.293 Zn
0.500 0.000 0.374 Zn
0.500 0.000 0.626 Zn
0.500 0.500 0.707 Zn
0.500 0.500 0.959 Zn
0.002 0.318 0.540 Au
0.002 0.684 0.794 Au
0.316 0.318 0.460 Au
0.316 0.998 0.873 Au
0.318 0.002 0.127 Au
0.318 0.316 0.206 Au
0.682 0.684 0.206 Au
0.682 0.998 0.127 Au
0.684 0.002 0.873 Au
0.684 0.682 0.460 Au
0.998 0.316 0.794 Au
0.998 0.682 0.540 Au
0.181 0.394 0.611 C
0.181 0.787 0.722 C
0.183 0.404 0.863 C
0.183 0.780 0.471 C
0.213 0.394 0.389 C
0.213 0.819 0.944 C
0.220 0.404 0.137 C
0.220 0.817 0.196 C
0.394 0.181 0.056 C
0.394 0.213 0.278 C
0.404 0.183 0.804 C
0.404 0.220 0.529 C
0.596 0.780 0.529 C
0.596 0.817 0.804 C
0.606 0.787 0.278 C
0.606 0.819 0.056 C
0.780 0.183 0.196 C
0.780 0.596 0.137 C
0.787 0.181 0.944 C
0.787 0.606 0.389 C
0.817 0.220 0.471 C
0.817 0.596 0.863 C
0.819 0.213 0.722 C
0.819 0.606 0.611 C
0.144 0.435 0.349 N
0.144 0.709 0.985 N
0.155 0.449 0.097 N
0.155 0.707 0.237 N
0.291 0.435 0.651 N
0.291 0.856 0.682 N
0.293 0.449 0.903 N
0.293 0.845 0.430 N
0.435 0.144 0.318 N
0.435 0.291 0.015 N
0.449 0.155 0.570 N
0.449 0.293 0.763 N
0.551 0.707 0.763 N
0.551 0.845 0.570 N
0.565 0.709 0.015 N
0.565 0.856 0.318 N
0.707 0.155 0.430 N
0.707 0.551 0.903 N
0.709 0.144 0.682 N
0.709 0.565 0.651 N
0.845 0.293 0.237 N
0.845 0.551 0.097 N
0.856 0.291 0.985 N
0.856 0.565 0.349 N

Nb2AuC, optimized geometry, DFT GGA-PBE; E_tot = -8.56 eV/atom; total moment = 0.0 μB per formula unit
1.0
3.178 0.000 0.000
-1.589 2.752 0.000
0.000 0.000 13.945
Nb Au C
4 2 2
Direct
0.333 0.667 0.086 Nb
0.333 0.667 0.414 Nb
0.667 0.333 0.586 Nb
0.667 0.333 0.914 Nb
0.333 0.667 0.750 Au
0.667 0.333 0.250 Au
0.000 0.000 0.000 C
0.000 0.000 0.500 C

Nb3AuC2, optimized geometry, DFT GGA-PBE; E_tot = -9.07 eV/atom; total moment = 0.0 μB per formula unit
1.0
3.221 0.000 0.000
-1.610 2.789 0.000
0.000 0.000 18.814
Nb Au C
6 2 4
Direct
0.000 0.000 0.000 Nb
0.000 0.000 0.500 Nb
0.333 0.667 0.129 Nb
0.333 0.667 0.371 Nb
0.667 0.333 0.629 Nb
0.667 0.333 0.871 Nb
0.000 0.000 0.250 Au
0.000 0.000 0.750 Au
0.333 0.667 0.572 C
0.333 0.667 0.928 C
0.667 0.333 0.072 C
0.667 0.333 0.428 C

Nb2AuC, optimized geometry, DFT GGA-PBE; E_tot = -8.56 eV/atom; total moment = 0.0 μB per formula unit
1.0
3.174 0.000 0.000
-1.587 2.749 0.000
0.000 0.000 13.992
Nb Au C
4 2 2
Direct
0.333 0.667 0.085 Nb
0.333 0.667 0.415 Nb
0.667 0.333 0.585 Nb
0.667 0.333 0.915 Nb
0.333 0.667 0.750 Au
0.667 0.333 0.250 Au
0.000 0.000 0.000 C
0.000 0.000 0.500 C

Nb2AuC, optimized geometry, DFT GGA-PBE; E_tot = -8.56 eV/atom; total moment = 0.0 μB per formula unit
1.0
1.590 0.918 6.995
-1.590 0.918 6.995
0.000 -1.836 6.995
Nb Au C
2 1 1
Direct
0.223 0.223 0.223 Nb
0.777 0.777 0.777 Nb
0.000 0.000 0.000 Au
0.500 0.500 0.500 C

Nb4AuC2O, optimized geometry, DFT GGA-PBE; E_tot = -9.13 eV/atom; total moment = 0.0 μB per formula unit
1.0
3.183 0.000 0.000
-1.592 2.757 0.000
0.000 0.000 12.289
Nb Au C O
4 1 2 1
Direct
0.000 0.000 0.126 Nb
0.000 0.000 0.874 Nb
0.333 0.667 0.314 Nb
0.333 0.667 0.686 Nb
0.000 0.000 0.500 Au
0.667 0.333 0.222 C
0.667 0.333 0.778 C
0.333 0.667 0.000 O

The calculation returns the following calculated density values, one per record and in order: 16.0; 15.4; 16.3; 8.0; 7.3; 6.9; 4.4; 4.4; 4.4; 10.7; 9.8; 10.7; 10.7; 9.4 g/cm3.